Compound: ZrCu2Te
Source: Alexandria via LeMat-Bulk
Functional: PBE
Structure: relaxed

Cell: 4.119 4.119 4.174 Å, 90.00 90.00 90.00°
Sites, in units of the cell vectors:
Zr  0.000  0.000  0.000
Cu  0.000  0.500  0.500
Cu  0.500  0.000  0.500
Te  0.500  0.500  0.000

Total magnetization   0.0 μB per cell
Raw formation energy   -102.3 meV/atom